(1)
Here is a relaxed structure of K2BeSe2 from the Alexandria database. Energies are from PBE.

Calculated values
Its space-group type is P4/mbm. The density of states at the Fermi level comes out at 0.000 states/eV per atom. Its formation energy (no corrections) is -0.4418 eV per atom.

Unit cell a=7.148 b=7.148 c=5.079 alpha=90.00 beta=90.00 gamma=90.00
Fractional coordinates of all 10 atoms:
Be 0.500 0.500 0.000
Be 0.000 0.000 0.000
Se 0.684 0.184 0.000
Se 0.316 0.816 0.000
Se 0.184 0.316 0.000
Se 0.816 0.684 0.000
K 0.644 0.856 0.500
K 0.856 0.356 0.500
K 0.356 0.144 0.500
K 0.144 0.644 0.500

***

(2)
Here is a relaxed structure of TlTc2As from the Alexandria database. Energies are from PBE.

Calculated values
Its space-group type is P4/mmm. The density of states at the Fermi level comes out at 1.363 states/eV per atom. For the formation energy from the elements, the calculation gives 0.5674 eV/atom.

Unit cell a=3.229 b=4.531 c=4.531 alpha=90.00 beta=90.00 gamma=90.00
Site moments in Bohr magnetons follow the coordinates.
Fractional coordinates of all 4 atoms:
Tc 0.000 0.000 0.000  0.22
Tc 0.000 0.500 0.500  0.22
Tl 0.500 0.500 0.000  0.01
As 0.500 0.000 0.500  -0.01

***

(3)
Here is a relaxed structure of Zr2HSe from the Alexandria database. Energies are from PBE.

Calculated values
Its space-group type is R-3m. The calculation puts the total energy at -26.74 eV per formula unit. The density of states at the Fermi level comes out at 0.558 states/eV per atom.

Unit cell a=3.434 b=3.434 c=6.698 alpha=75.15 beta=75.15 gamma=60.00
Fractional coordinates of all 4 atoms:
Zr 0.266 0.266 0.201
Zr 0.734 0.734 0.799
Se 0.500 0.500 0.500
H 0.000 0.000 0.000

***

(4)
Here is a relaxed structure of NbCu2SiH from the Alexandria database. Energies are from PBE.

Calculated values
Its space-group type is P4/mmm. The calculation puts the total energy at -27.68 eV per formula unit. The density of states at the Fermi level comes out at 0.164 states/eV per atom.

Unit cell a=3.766 b=3.766 c=4.071 alpha=90.00 beta=90.00 gamma=90.00
Fractional coordinates of all 5 atoms:
Cu 0.000 0.500 0.000
Cu 0.500 0.000 0.000
Si 0.500 0.500 0.500
Nb 0.000 0.000 0.500
H 0.000 0.000 0.000

***

(5)
Here is a relaxed structure of OsI from the Alexandria database. Energies are from PBE.

Calculated values
Its space-group type is Pm-3n. The density of states at the Fermi level comes out at 1.238 states/eV per atom. Its formation energy (no corrections) is 1.8149 eV per atom.

Unit cell a=7.295 b=7.295 c=7.295 alpha=90.00 beta=90.00 gamma=90.00
Fractional coordinates of all 12 atoms:
Os 0.000 0.500 0.250
Os 0.250 0.000 0.500
Os 0.000 0.500 0.750
Os 0.500 0.750 0.000
Os 0.750 0.000 0.500
Os 0.500 0.250 0.000
I 0.000 0.250 0.500
I 0.250 0.500 0.000
I 0.500 0.000 0.250
I 0.000 0.750 0.500
I 0.750 0.500 0.000
I 0.500 0.000 0.750

***

(6)
Here is a relaxed structure of Sr12Ir3N5 from the Alexandria database. Energies are from PBE.

Calculated values
Its space-group type is Ia-3d. The density of states at the Fermi level comes out at 0.012 states/eV per atom. Its formation energy (no corrections) is -0.2814 eV per atom.

Unit cell a=14.129 b=14.129 c=14.129 alpha=109.47 beta=109.47 gamma=109.47
Fractional coordinates of all 80 atoms:
Sr 0.293 0.875 0.972
Sr 0.793 0.472 0.375
Sr 0.528 0.207 0.125
Sr 0.207 0.528 0.625
Sr 0.403 0.028 0.320
Sr 0.875 0.583 0.903
Sr 0.707 0.583 0.180
Sr 0.820 0.903 0.028
Sr 0.917 0.820 0.793
Sr 0.028 0.403 0.820
Sr 0.028 0.625 0.707
Sr 0.097 0.180 0.472
Sr 0.125 0.707 0.528
Sr 0.083 0.903 0.375
Sr 0.625 0.597 0.917
Sr 0.793 0.320 0.917
Sr 0.320 0.793 0.417
Sr 0.972 0.375 0.293
Sr 0.680 0.207 0.583
Sr 0.903 0.820 0.528
Sr 0.403 0.375 0.583
Sr 0.125 0.417 0.097
Sr 0.820 0.917 0.293
Sr 0.625 0.028 0.207
Sr 0.583 0.875 0.403
Sr 0.597 0.972 0.680
Sr 0.097 0.917 0.125
Sr 0.528 0.320 0.903
Sr 0.472 0.680 0.097
Sr 0.293 0.417 0.820
Sr 0.903 0.083 0.875
Sr 0.680 0.472 0.597
Sr 0.180 0.097 0.972
Sr 0.180 0.083 0.707
Sr 0.472 0.793 0.875
Sr 0.083 0.180 0.207
Sr 0.320 0.528 0.403
Sr 0.972 0.597 0.180
Sr 0.207 0.680 0.083
Sr 0.875 0.293 0.472
Sr 0.583 0.707 0.680
Sr 0.917 0.097 0.625
Sr 0.417 0.293 0.320
Sr 0.375 0.972 0.793
Sr 0.417 0.125 0.597
Sr 0.375 0.403 0.083
Sr 0.597 0.625 0.417
Sr 0.707 0.125 0.028
Ir 0.875 0.125 0.250
Ir 0.375 0.625 0.250
Ir 0.250 0.625 0.875
Ir 0.125 0.875 0.750
Ir 0.750 0.375 0.125
Ir 0.750 0.875 0.625
Ir 0.250 0.125 0.375
Ir 0.875 0.750 0.125
Ir 0.375 0.750 0.625
Ir 0.125 0.250 0.875
Ir 0.625 0.250 0.375
Ir 0.625 0.375 0.750
N 0.125 0.750 0.375
N 0.875 0.250 0.625
N 0.500 0.500 0.000
N 0.875 0.625 0.750
N 0.125 0.375 0.250
N 0.500 0.000 0.000
N 0.250 0.875 0.125
N 0.000 0.500 0.000
N 0.500 0.000 0.500
N 0.750 0.125 0.875
N 0.375 0.250 0.125
N 0.000 0.000 0.000
N 0.375 0.125 0.750
N 0.750 0.625 0.375
N 0.000 0.000 0.500
N 0.625 0.875 0.250
N 0.500 0.500 0.500
N 0.625 0.750 0.875
N 0.000 0.500 0.500
N 0.250 0.375 0.625

***

(7)
Here is a relaxed structure of Mg5Al2In from the Alexandria database. Energies are from PBE.

Calculated values
Its space-group type is I4/mcm. The density of states at the Fermi level comes out at 0.686 states/eV per atom. For the formation energy from the elements, the calculation gives 0.0244 eV/atom.

Unit cell a=7.287 b=7.287 c=8.460 alpha=115.51 beta=115.51 gamma=90.00
Fractional coordinates of all 16 atoms:
Al 0.871 0.629 0.000
Al 0.371 0.871 0.000
Al 0.129 0.371 0.000
Al 0.629 0.129 0.000
Mg 0.509 0.688 0.697
Mg 0.500 0.500 0.000
Mg 0.009 0.509 0.697
Mg 0.491 0.312 0.303
Mg 0.812 0.991 0.303
Mg 0.688 0.188 0.697
Mg 0.000 0.000 0.000
Mg 0.312 0.812 0.303
Mg 0.188 0.009 0.697
Mg 0.991 0.491 0.303
In 0.750 0.750 0.500
In 0.250 0.250 0.500

***

(8)
Here is a relaxed structure of Ho7Ga2Pd2 from the Alexandria database. Energies are from PBE.

Calculated values
Its space-group type is Cmmm. The density of states at the Fermi level comes out at 0.865 states/eV per atom. For the formation energy from the elements, the calculation gives -0.3671 eV/atom.

Unit cell a=6.680 b=7.005 c=6.680 alpha=90.00 beta=108.43 gamma=90.00
Fractional coordinates of all 11 atoms:
Pd 0.293 0.000 0.707
Pd 0.707 0.000 0.293
Ho 0.500 0.740 0.500
Ho 0.000 0.265 0.500
Ho 0.500 0.260 0.500
Ho 0.500 0.265 0.000
Ho 0.000 0.000 0.000
Ho 0.000 0.735 0.500
Ho 0.500 0.735 0.000
Ga 0.167 0.500 0.167
Ga 0.833 0.500 0.833